# 1
The following is a DFT calculation (PBEsol) of a geometry-optimized MgSb2W structure.

The structure in extended XYZ format:
```
4
Lattice="3.486 0.000 0.000 0.000 4.605 0.000 -1.743 0.000 5.092" Properties=species:S:1:pos:R:3 pbc="T T T"
W 0.000 2.302 4.573
Sb 0.000 0.000 0.245
Sb 1.743 2.302 2.389
Mg 0.000 0.000 2.978
```

Properties
**Density of states at the Fermi level**: 2.38 states/eV/f.u.
**Crystal system**: orthorhombic
**E above lowest polymorph**: 0.107 eV per atom
**Uncorrected formation energy**: 0.3023 eV per atom
**Space group**: Amm2 (38)


# 2
The following is a DFT calculation (PBEsol) of a geometry-optimized TaCr2Ag structure.

The structure in extended XYZ format:
```
4
Lattice="2.658 0.006 0.000 -0.948 2.483 0.000 0.000 0.000 8.632" Properties=species:S:1:pos:R:3 pbc="T T T"
Ag 0.855 1.245 2.032
Cr 0.855 1.245 6.671
Cr 0.000 0.000 8.384
Ta 0.000 0.000 4.492
```

Properties
**Density of states at the Fermi level**: 2.92 states/eV/f.u.
**ΔH_f (0 K)**: 323 meV/atom
**Crystal system**: orthorhombic
**E above lowest polymorph**: 0.000 eV per atom
**Space group**: Cmm2 (35)


# 3
The following is a DFT calculation (PBEsol) of a geometry-optimized MnHF3 structure.

The structure in extended XYZ format:
```
5
Lattice="-2.463 -2.129 -2.028 -1.496 -1.370 3.255 -2.531 2.881 0.049" Properties=species:S:1:pos:R:3 pbc="T T T"
F -1.265 1.441 0.025
F -1.231 -1.064 -1.014
F -0.748 -0.685 1.627
H -3.245 -0.308 0.638
Mn 0.000 0.000 0.000
```

Properties
**Density of states at the Fermi level**: 1.63 states/eV/f.u.
**Crystal system**: cubic
**Uncorrected energy**: -26.0 eV for the cell shown
**Space group**: Pm-3m (221)


# 4
The following is a DFT calculation (PBEsol) of a geometry-optimized InCu2TeF structure.

The structure in extended XYZ format:
```
5
Lattice="-3.402 2.933 1.715 -3.202 -3.579 -0.231 1.275 -1.466 5.037" Properties=species:S:1:pos:R:3 pbc="T T T"
In 0.000 0.000 0.000
Cu -1.701 1.466 0.857
Cu -1.601 -1.789 -0.116
F -2.664 -1.056 3.260
Te 0.638 -0.733 2.519
```

Properties
**Density of states at the Fermi level**: 2.93 states/eV/f.u.
**Crystal system**: tetragonal
**Uncorrected formation energy**: 0.6534 eV per atom
**Space group**: P4/mmm (123)


# 5
The following is a DFT calculation (PBEsol) of a geometry-optimized Mg2MnOs structure.

The structure in extended XYZ format:
```
4
Lattice="-1.178 -0.366 -2.360 3.792 -0.171 -1.866 0.136 -5.399 0.769" Properties=species:S:1:pos:R:3 pbc="T T T"
Mn 1.307 -0.268 -2.113
Mg 0.035 -1.379 0.197
Mg 0.101 -4.020 0.573
Os 1.375 -2.968 -1.729
```

Properties
**Density of states at the Fermi level**: 2.29 states/eV/f.u.
**ΔH_f (0 K)**: 347 meV/atom
**Crystal system**: orthorhombic
**E above lowest polymorph**: 0.034 eV per atom
**Space group**: Pmmm (47)


# 6
The following is a DFT calculation (PBEsol) of a geometry-optimized NiAs2P structure.

The structure in extended XYZ format:
```
4
Lattice="-1.138 0.678 2.362 -3.613 -2.793 -0.939 2.201 -3.546 2.078" Properties=species:S:1:pos:R:3 pbc="T T T"
Ni -1.275 -2.831 1.751
P -0.569 0.339 1.181
As -1.807 -1.397 -0.469
As 1.101 -1.773 1.039
```

Properties
**Density of states at the Fermi level**: 2.08 states/eV/f.u.
**ΔH_f (0 K)**: 337 meV/atom
**Crystal system**: tetragonal
**Space group**: P4/mmm (123)